[1]
This record from Alexandria via LeMat-Bulk describes an optimized crystal structure of K2Sb3. The functional is PBE.

POSCAR file:
```
K2Sb3
1.0
-2.381 3.462 5.529
2.381 -3.462 5.529
2.381 3.462 -5.529
K Sb
2 3
Cartesian
0.000 0.000 2.425
0.000 0.000 8.632
2.381 1.461 0.000
0.000 3.462 0.000
0.000 2.002 5.529
```

Properties
The formation energy without anion corrections is -0.31 eV per atom. As for the space group: Immm. The density of states at the Fermi level is 0.299 states/eV per atom. The magnetization comes out at 0.000 μB/f.u.


[2]
This record from Alexandria via LeMat-Bulk describes an optimized crystal structure of K5Sb4. The functional is PBE.

POSCAR file:
```
K5Sb4
1.0
6.555 0.000 0.000
-0.697 6.850 0.000
-0.106 -0.309 8.351
K Sb
5 4
Cartesian
0.000 0.000 0.000
1.448 1.225 4.382
1.530 3.538 1.253
4.222 3.003 7.098
4.304 5.316 3.969
0.871 4.401 5.970
3.160 0.111 1.428
2.592 6.431 6.923
4.881 2.141 2.381
```

Properties
The formation energy without anion corrections is -0.39 eV per atom. As for the space group: P-1. The density of states at the Fermi level is 0.377 states/eV per atom. The magnetization comes out at 0.000 μB/f.u.